1.
Density functional theory data (SCAN) for a crystal of BaAgBr relaxed with PBEsol.

Unit cell a=4.9267 b=4.9267 c=5.1569 alpha=90.00 beta=90.00 gamma=120.00
Last column: nearest neighbours and their distance in Å.
Fractional positions:
1 Ba 0.0000 0.0000 0.0000  3 Br 3.24, 3 Ag 3.36
2 Ag 0.6667 0.3333 0.3472  3 Ba 3.36, 3 Br 3.38
3 Br 0.3333 0.6667 0.6999  3 Ba 3.24, 3 Ag 3.38

Values from the calculation:
The theoretical density comes out at 4.98 g cm⁻³. Its raw total energy is -1.14257 hartree per atom. Its uncorrected formation energy is -0.9652 eV per atom.

---

2.
Density functional theory data (SCAN) for a crystal of Ba2AgBr relaxed with PBEsol.

Unit cell a=4.7025 b=4.7025 c=6.7612 alpha=90.00 beta=90.00 gamma=90.00
Last column: nearest neighbours and their distance in Å.
Fractional positions:
1 Ba 0.0000 0.0000 0.0000  4 Br 3.33, 2 Ag 3.38
2 Ba 0.5000 0.5000 0.5000  4 Ag 3.33, 2 Br 3.38
3 Ag 0.0000 0.0000 0.5000  6 Ba 3.33-3.38
4 Br 0.5000 0.5000 0.0000  6 Ba 3.33-3.38

Values from the calculation:
The theoretical density comes out at 5.14 g cm⁻³. Its raw total energy is -1.23043 hartree per atom. Its uncorrected formation energy is -1.0000 eV per atom.

---

3.
Density functional theory data (SCAN) for a crystal of BaAgBr relaxed with PBEsol.

Unit cell a=7.5020 b=7.5020 c=7.5020 alpha=90.00 beta=90.00 gamma=90.00
Last column: nearest neighbours and their distance in Å.
Fractional positions:
1 Ba 0.0000 0.0000 0.0000  4 Ag 3.25
2 Ba 0.0000 0.5000 0.5000  4 Ag 3.25
3 Ba 0.5000 0.0000 0.5000  4 Ag 3.25
4 Ba 0.5000 0.5000 0.0000  4 Ag 3.25
5 Ag 0.2500 0.2500 0.2500  4 Ba 3.25, 4 Br 3.25
6 Ag 0.2500 0.7500 0.7500  4 Ba 3.25, 4 Br 3.25
7 Ag 0.7500 0.2500 0.7500  4 Ba 3.25, 4 Br 3.25
8 Ag 0.7500 0.7500 0.2500  4 Ba 3.25, 4 Br 3.25
9 Br 0.0000 0.0000 0.5000  4 Ag 3.25
10 Br 0.0000 0.5000 0.0000  4 Ag 3.25
11 Br 0.5000 0.0000 0.0000  4 Ag 3.25
12 Br 0.5000 0.5000 0.5000  4 Ag 3.25

Values from the calculation:
The theoretical density comes out at 5.11 g cm⁻³. Its raw total energy is -1.13661 hartree per atom. Its uncorrected formation energy is -0.8033 eV per atom.

---

Question: Which value of theoretical density does entry 2 give?
Answer: 5.14 g cm⁻³

---

Question: The lowest uncorrected formation energy belongs to which entry?
Answer: Ba2AgBr

---

Question: Among the records above, which one has the highest theoretical density?
Answer: Ba2AgBr

---

Question: The lowest uncorrected formation energy belongs to which entry?
Answer: Ba2AgBr